## LaMn2BMo (GGA-PBE)

Data for a geometry-optimized LaMn2BMo structure.

The calculation puts the energy of formation at 252 meV per atom. As for the energy: -7.9029 eV/atom.

The structure belongs to space group P4/mmm (No. 123); the cell edges are 4.2200, 4.2200 and 4.4980 Å and the angles 90.00°, 90.00° and 90.00°. The asymmetric unit holds La at (0.0000, 0.0000, 0.0000), Mn at (0.0000, 0.5000, 0.5000), B at (0.5000, 0.5000, 0.5000) and Mo at (0.5000, 0.5000, 0.0000).

---

## Pr6SmCd3 (GGA-PBE)

Data for a geometry-optimized Pr6SmCd3 structure.

The calculation puts the energy of formation at -97 meV per atom. As for the energy: -3.7115 eV/atom.

The structure belongs to space group Cmc2_1 (No. 36); the cell edges are 13.1010, 14.2279 and 6.9511 Å and the angles 90.00°, 90.00° and 90.00°. The asymmetric unit holds Pr at (0.0000, 0.0763, 0.0000), Pr at (0.0000, 0.2984, 0.6843), Pr at (0.2154, 0.4751, 0.6848), Pr at (0.2236, 0.2139, 0.8605), Sm at (0.0000, 0.3071, 0.1978), Cd at (0.0000, 0.4975, 0.9373) and Cd at (0.1126, 0.1234, 0.4600).